#a
This record from Alexandria describes NbSbMo3 after structural relaxation. The functional is PBE.

Size of the total moment, μB per cell: 2.47

Cell: 4.810 4.810 4.810 Å, 90.00 90.00 90.00°
Site moments in Bohr magnetons follow the coordinates.
Fractional positions:
Sb1 0.500 0.500 0.500  -0.02
Mo1 0.000 0.500 0.000  0.66
Mo2 0.000 0.000 0.500  0.73
Mo3 0.500 0.000 0.000  0.91
Nb1 0.000 0.000 0.000  -0.12

#b
This record from Alexandria describes NbSbMo3 after structural relaxation. The functional is PBE.

Size of the total moment, μB per cell: 0.05

Cell: 4.815 4.815 4.815 Å, 90.00 90.00 90.00°
Fractional positions:
Sb1 0.000 0.000 0.000
Mo1 0.000 0.500 0.000
Mo2 0.000 0.000 0.500
Mo3 0.500 0.000 0.000
Nb1 0.500 0.500 0.500

Which one is most stable, and which one is least stable? #a is the most stable of them, while #b is the least stable.